Crystalline Rb2BaCrF8 at its relaxed geometry, computed with GGA+U.

Magnetization: 1.93 μB/f.u.
Calculated total energy: -61.03 eV per cell

Cell: 4.5999 7.9372 6.3112 Å, 90.00 96.22 90.00°
With the nearest neighbours (Å) after each atom.
Space group P2/m (No. 10)
Asymmetric unit:
Rb 0.0000 0.2321 0.0000 [2 per cell]  6 F 2.71-2.89
Ba 0.5000 0.5000 0.5000 [1 per cell]  8 F 2.64-2.88
Cr 0.5000 0.0000 0.5000 [1 per cell]  6 F 1.82-1.90
F 0.0116 0.5000 0.7338 [2 per cell]  2 Ba 2.64-2.82, 2 Rb 2.71, 1 F 2.94
F 0.1482 0.0000 0.3370 [2 per cell]  1 Cr 1.82
F 0.3981 0.1758 0.6823 [4 per cell]  1 Cr 1.90